Record 1
Compound: CrSiP
Source: Alexandria
Functional: GGA-PBE
Structure: optimized geometry

```
data_CrSiP
_cell_length_a 3.0982
_cell_length_b 3.0982
_cell_length_c 7.5446
_cell_angle_alpha 90.00
_cell_angle_beta 90.00
_cell_angle_gamma 90.00
_space_group_name_H-M_alt 'P 4/n m m'
_space_group_IT_number 129
loop_
_space_group_symop_operation_xyz
'x,y,z'
'-x,-y,-z'
'-y+1/2,x,z'
'y+1/2,-x,-z'
'-x+1/2,-y+1/2,z'
'x+1/2,y+1/2,-z'
'y,-x+1/2,z'
'-y,x+1/2,-z'
'x+1/2,-y,-z'
'-x+1/2,y,z'
'-y,-x,-z'
'y,x,z'
'-x,y+1/2,-z'
'x,-y+1/2,z'
'y+1/2,x+1/2,-z'
'-y+1/2,-x+1/2,z'
loop_
_atom_site_label
_atom_site_type_symbol
_atom_site_fract_x
_atom_site_fract_y
_atom_site_fract_z
Cr1 Cr 0.2500 0.2500 0.2394
Si1 Si 0.2500 0.2500 0.5800
P1 P 0.2500 0.2500 0.9056
```

Calculated values
Relative energy among the computed polymorphs: 0.0621 eV/atom

=====

Record 2
Compound: CrSi2P
Source: Alexandria
Functional: GGA-PBE
Structure: optimized geometry

```
data_CrSi2P
_cell_length_a 3.8941
_cell_length_b 3.1666
_cell_length_c 8.5765
_cell_angle_alpha 90.00
_cell_angle_beta 90.00
_cell_angle_gamma 90.00
_space_group_name_H-M_alt 'A m m 2'
_space_group_IT_number 38
loop_
_space_group_symop_operation_xyz
'x,y,z'
'-x,-y,z'
'-x,y,z'
'x,-y,z'
'x,y+1/2,z+1/2'
'-x,-y+1/2,z+1/2'
'-x,y+1/2,z+1/2'
'x,-y+1/2,z+1/2'
loop_
_atom_site_label
_atom_site_type_symbol
_atom_site_fract_x
_atom_site_fract_y
_atom_site_fract_z
Cr1 Cr 0.0000 0.0000 0.0000
Si1 Si 0.0000 0.0000 0.7166
Si2 Si 0.5000 0.0000 0.4080
P1 P 0.5000 0.0000 0.1418
```

=====

Number 1: E_form (uncorrected) -181 meV per atom. Number 2: E_form (uncorrected) -46 meV per atom.